1.
This record from the Alexandria database describes crystalline AlZnGa at its relaxed geometry. The functional is PBE.

Values from the calculation:
Its volume is 16.89 Å³/atom. For the energy of formation, the calculation gives 0.04 eV per atom. As for the calculated density: 5.3 g cm⁻³. The symmetry is No. 156.

```
data_AlZnGa
_space_group_name_H-M_alt 'P 1'
_space_group_IT_number 1
_space_group_name_Hall 'P 1'
_cell_length_a 3.0474
_cell_length_b 3.0474
_cell_length_c 6.3015
_cell_angle_alpha 90.00
_cell_angle_beta 90.00
_cell_angle_gamma 120.00
loop_
_atom_site_label
_atom_site_fract_x
_atom_site_fract_y
_atom_site_fract_z
Al1 0.0000 0.0000 0.0000
Zn1 0.3333 0.6667 0.6696
Ga1 0.6667 0.3333 0.3365
```

2.
This record from the Alexandria database describes crystalline CaPm2Pr6 at its relaxed geometry. The functional is PBE.

Values from the calculation:
Its volume is 42.83 Å³/atom. For the energy of formation, the calculation gives 0.47 eV per atom. As for the calculated density: 5.1 g cm⁻³. The symmetry is No. 162. Its energy above the most stable polymorph in this dataset is 0.378 eV per atom.

```
data_CaPm2Pr6
_space_group_name_H-M_alt 'P 1'
_space_group_IT_number 1
_space_group_name_Hall 'P 1'
_cell_length_a 6.1315
_cell_length_b 6.1315
_cell_length_c 11.8398
_cell_angle_alpha 90.00
_cell_angle_beta 90.00
_cell_angle_gamma 120.00
loop_
_atom_site_label
_atom_site_fract_x
_atom_site_fract_y
_atom_site_fract_z
Ca1 0.0000 0.0000 0.0000
Pm1 0.3333 0.6667 0.5000
Pm2 0.6667 0.3333 0.5000
Pr1 0.0000 0.3350 0.2534
Pr2 0.0000 0.6650 0.7466
Pr3 0.3350 0.0000 0.2534
Pr4 0.3350 0.3350 0.7466
Pr5 0.6650 0.0000 0.7466
Pr6 0.6650 0.6650 0.2534
```

3.
This record from the Alexandria database describes crystalline Ce3Pu3Ge2 at its relaxed geometry. The functional is PBE.

Values from the calculation:
Its volume is 24.26 Å³/atom. For the energy of formation, the calculation gives -0.27 eV per atom. As for the calculated density: 11.1 g cm⁻³. The symmetry is No. 155.

```
data_Ce3Pu3Ge2
_space_group_name_H-M_alt 'P 1'
_space_group_IT_number 1
_space_group_name_Hall 'P 1'
_cell_length_a 5.7916
_cell_length_b 5.7916
_cell_length_c 5.7916
_cell_angle_alpha 91.32
_cell_angle_beta 91.32
_cell_angle_gamma 91.32
loop_
_atom_site_label
_atom_site_fract_x
_atom_site_fract_y
_atom_site_fract_z
Ce1 0.0000 0.7311 0.2689
Ce2 0.2689 0.0000 0.7311
Ce3 0.7311 0.2689 0.0000
Pu1 0.2310 0.5000 0.7690
Pu2 0.5000 0.7690 0.2310
Pu3 0.7690 0.2310 0.5000
Ge1 0.2461 0.2461 0.2461
Ge2 0.7539 0.7539 0.7539
```

4.
This record from the Alexandria database describes crystalline Al5Re3 at its relaxed geometry. The functional is PBE.

Values from the calculation:
Its volume is 14.49 Å³/atom. For the energy of formation, the calculation gives -0.09 eV per atom. As for the calculated density: 9.9 g cm⁻³. The symmetry is No. 65.

```
data_Al5Re3
_space_group_name_H-M_alt 'P 1'
_space_group_IT_number 1
_space_group_name_Hall 'P 1'
_cell_length_a 5.2741
_cell_length_b 5.2741
_cell_length_c 4.2165
_cell_angle_alpha 90.00
_cell_angle_beta 90.00
_cell_angle_gamma 98.71
loop_
_atom_site_label
_atom_site_fract_x
_atom_site_fract_y
_atom_site_fract_z
Al1 0.0000 0.0000 0.0000
Al2 0.0000 0.5000 0.0000
Al3 0.2884 0.2884 0.5000
Al4 0.5000 0.0000 0.0000
Al5 0.7116 0.7116 0.5000
Re1 0.2177 0.7823 0.5000
Re2 0.5000 0.5000 0.0000
Re3 0.7823 0.2177 0.5000
```

5.
This record from the Alexandria database describes crystalline EuTmMgAg at its relaxed geometry. The functional is PBE.

Values from the calculation:
Its volume is 26.83 Å³/atom. For the energy of formation, the calculation gives -0.12 eV per atom. As for the calculated density: 7.0 g cm⁻³. The symmetry is No. 216.

```
data_EuTmMgAg
_space_group_name_H-M_alt 'P 1'
_space_group_IT_number 1
_space_group_name_Hall 'P 1'
_cell_length_a 5.3345
_cell_length_b 5.3345
_cell_length_c 5.3345
_cell_angle_alpha 60.00
_cell_angle_beta 60.00
_cell_angle_gamma 60.00
loop_
_atom_site_label
_atom_site_fract_x
_atom_site_fract_y
_atom_site_fract_z
Eu1 0.0000 0.0000 0.0000
Tm1 0.5000 0.5000 0.5000
Mg1 0.7500 0.7500 0.7500
Ag1 0.2500 0.2500 0.2500
```

6.
This record from the Alexandria database describes crystalline NdLu2Tl at its relaxed geometry. The functional is PBE.

Values from the calculation:
Its volume is 28.48 Å³/atom. For the energy of formation, the calculation gives 0.04 eV per atom. As for the calculated density: 10.2 g cm⁻³. The symmetry is No. 225. Its energy above the most stable polymorph in this dataset is 0.206 eV per atom.

```
data_NdLu2Tl
_space_group_name_H-M_alt 'P 1'
_space_group_IT_number 1
_space_group_name_Hall 'P 1'
_cell_length_a 5.4413
_cell_length_b 5.4413
_cell_length_c 5.4413
_cell_angle_alpha 60.00
_cell_angle_beta 60.00
_cell_angle_gamma 60.00
loop_
_atom_site_label
_atom_site_fract_x
_atom_site_fract_y
_atom_site_fract_z
Nd1 0.0000 0.0000 0.0000
Lu1 0.2500 0.2500 0.2500
Lu2 0.7500 0.7500 0.7500
Tl1 0.5000 0.5000 0.5000
```

Q: Look up the energy of formation of the fourth one.
A: -0.09 eV per atom

Q: Among the records above, which one has the lowest calculated density?
A: CaPm2Pr6

Q: The highest calculated density belongs to which entry?
A: Ce3Pu3Ge2

Q: energy of formation of number 1 (AlZnGa)?
A: 0.04 eV per atom